(1)
Pu2PaSn3: optimized geometry, PBE.

Crystal system: tetragonal

The structure in POSCAR format:
```
Pu2PaSn3
1.0
3.345 0.000 0.000
0.000 3.345 0.000
0.000 0.000 13.782
Pu Pa Sn
2 1 3
direct
0.000 0.000 0.168
0.000 0.000 0.832
0.000 0.000 0.500
0.500 0.500 0.000
0.500 0.500 0.334
0.500 0.500 0.666
```

---

(2)
Pu2Pa15Sn2: optimized geometry, PBE.

Crystal system: trigonal

The structure in POSCAR format:
```
Pu2Pa15Sn2
1.0
5.200 3.002 5.175
-5.200 3.002 5.175
0.000 -6.005 5.175
Pu Pa Sn
2 15 2
direct
0.090 0.090 0.090
0.910 0.910 0.910
0.000 0.000 0.500
0.000 0.327 0.673
0.000 0.500 0.000
0.000 0.673 0.327
0.163 0.659 0.659
0.327 0.000 0.673
0.327 0.673 0.000
0.341 0.341 0.837
0.341 0.837 0.341
0.500 0.000 0.000
0.659 0.163 0.659
0.659 0.659 0.163
0.673 0.000 0.327
0.673 0.327 0.000
0.837 0.341 0.341
0.303 0.303 0.303
0.697 0.697 0.697
```

---

(3)
Pu2PaSn: optimized geometry, PBE.

Crystal system: cubic
Excess energy over the best structure of this formula in the dataset, meV/atom: 174

The structure in POSCAR format:
```
Pu2PaSn
1.0
0.000 3.680 3.680
3.680 0.000 3.680
3.680 3.680 0.000
Pu Pa Sn
2 1 1
direct
0.250 0.250 0.250
0.750 0.750 0.750
0.000 0.000 0.000
0.500 0.500 0.500
```

---

(4)
Pu2PaSn: optimized geometry, PBE.

Crystal system: tetragonal
Excess energy over the best structure of this formula in the dataset, meV/atom: 0

The structure in POSCAR format:
```
Pu2PaSn
1.0
4.638 0.000 0.000
0.000 4.638 0.000
0.000 0.000 4.654
Pu Pa Sn
2 1 1
direct
0.000 0.500 0.000
0.500 0.000 0.000
0.000 0.000 0.500
0.500 0.500 0.500
```

---

(5)
PuPa2Sn: optimized geometry, PBE.

Crystal system: tetragonal
Excess energy over the best structure of this formula in the dataset, meV/atom: 159

The structure in POSCAR format:
```
PuPa2Sn
1.0
3.897 0.000 0.000
0.000 3.897 0.000
0.000 0.000 6.551
Pu Pa Sn
1 2 1
direct
0.000 0.000 0.000
0.500 0.500 0.239
0.500 0.500 0.761
0.000 0.000 0.500
```

---

(6)
Pu2PaSn2: optimized geometry, PBE.

Crystal system: tetragonal

The structure in POSCAR format:
```
Pu2PaSn2
1.0
7.883 0.000 0.000
0.000 7.883 0.000
0.000 0.000 4.189
Pu Pa Sn
4 2 4
direct
0.129 0.371 0.000
0.371 0.871 0.000
0.629 0.129 0.000
0.871 0.629 0.000
0.000 0.000 0.000
0.500 0.500 0.000
0.172 0.672 0.500
0.328 0.172 0.500
0.672 0.828 0.500
0.828 0.328 0.500
```

---

Number 1: E_tot -8.69 eV per atom. Number 2: E_tot -9.20 eV per atom. Number 3: E_tot -10.55 eV per atom. Number 4: E_tot -10.73 eV per atom. Number 5: E_tot -9.37 eV per atom. Number 6: E_tot -9.33 eV per atom.